# 1
# MgNi2P SCAN PBEsol geometry
# - calculated total energy (eV for the cell shown) = -200.14
# - mass density (g/cm3) = 5.8
# - DOS(E_F) (states/eV per cell) = 5.8
data_MgNi2P
_chemical_formula_sum 'Mg4 Ni8 P4'
_symmetry_space_group_name_H-M 'P n m a'
_symmetry_Int_Tables_number 62
_symmetry_space_group_name_Hall '-P 2ac 2n'
_cell_length_a 6.364
_cell_length_b 6.270
_cell_length_c 4.963
_cell_angle_alpha 90.00
_cell_angle_beta 90.00
_cell_angle_gamma 90.00
loop_
_atom_site_label
_atom_site_type_symbol
_atom_site_fract_x
_atom_site_fract_y
_atom_site_fract_z
Mg1 Mg 0.019 0.250 0.128
Ni1 Ni 0.175 0.053 0.599
P1 P 0.125 0.750 0.375

# 2
# MgNiP2 SCAN PBEsol geometry
# - calculated total energy (eV for the cell shown) = -84.88
# - mass density (g/cm3) = 4.0
# - DOS(E_F) (states/eV per cell) = 3.6
data_MgNiP2
_chemical_formula_sum 'Mg2 Ni2 P4'
_symmetry_space_group_name_H-M 'I m m m'
_symmetry_Int_Tables_number 71
_symmetry_space_group_name_Hall '-I 2 2'
_cell_length_a 3.878
_cell_length_b 5.310
_cell_length_c 5.860
_cell_angle_alpha 90.00
_cell_angle_beta 90.00
_cell_angle_gamma 90.00
loop_
_atom_site_label
_atom_site_type_symbol
_atom_site_fract_x
_atom_site_fract_y
_atom_site_fract_z
Mg1 Mg 0.000 0.000 0.000
Ni1 Ni 0.000 0.000 0.500
P1 P 0.000 0.500 0.191

# 3
# MgNiPS2 SCAN PBEsol geometry
# - formation energy without anion corrections (eV per formula unit) = 4.72
# - mass density (g/cm3) = 3.0
# - DOS(E_F) (states/eV per cell) = 6.5
data_MgNiPS2
_chemical_formula_sum 'Mg1 Ni1 P1 S2'
_symmetry_space_group_name_H-M 'P 4/m m m'
_symmetry_Int_Tables_number 123
_symmetry_space_group_name_Hall '-P 4 2'
_cell_length_a 4.614
_cell_length_b 4.614
_cell_length_c 4.689
_cell_angle_alpha 90.00
_cell_angle_beta 90.00
_cell_angle_gamma 90.00
loop_
_atom_site_label
_atom_site_type_symbol
_atom_site_fract_x
_atom_site_fract_y
_atom_site_fract_z
Mg1 Mg 0.000 0.000 0.000
Ni1 Ni 0.500 0.500 0.500
P1 P 0.000 0.000 0.500
S1 S 0.000 0.500 0.000

# 4
# Mg2NiPb SCAN PBEsol geometry
# - calculated total energy (eV for the cell shown) = -102.31
# - mass density (g/cm3) = 6.8
# - DOS(E_F) (states/eV per cell) = 1.8
data_Mg2NiPb
_chemical_formula_sum 'Mg2 Ni1 Pb1'
_symmetry_space_group_name_H-M 'P 4/m m m'
_symmetry_Int_Tables_number 123
_symmetry_space_group_name_Hall '-P 4 2'
_cell_length_a 3.197
_cell_length_b 3.197
_cell_length_c 7.458
_cell_angle_alpha 90.00
_cell_angle_beta 90.00
_cell_angle_gamma 90.00
loop_
_atom_site_label
_atom_site_type_symbol
_atom_site_fract_x
_atom_site_fract_y
_atom_site_fract_z
Mg1 Mg 0.000 0.000 0.190
Ni1 Ni 0.500 0.500 0.000
Pb1 Pb 0.500 0.500 0.500

# 5
# Mg2NiPb SCAN PBEsol geometry
# - calculated total energy (eV for the cell shown) = -203.74
# - mass density (g/cm3) = 7.0
# - DOS(E_F) (states/eV per cell) = 3.5
data_Mg2NiPb
_chemical_formula_sum 'Mg4 Ni2 Pb2'
_symmetry_space_group_name_H-M 'I m m m'
_symmetry_Int_Tables_number 71
_symmetry_space_group_name_Hall '-I 2 2'
_cell_length_a 3.681
_cell_length_b 4.523
_cell_length_c 8.916
_cell_angle_alpha 90.00
_cell_angle_beta 90.00
_cell_angle_gamma 90.00
loop_
_atom_site_label
_atom_site_type_symbol
_atom_site_fract_x
_atom_site_fract_y
_atom_site_fract_z
Mg1 Mg 0.000 0.000 0.224
Ni1 Ni 0.000 0.500 0.500
Pb1 Pb 0.000 0.500 0.000

# 6
# Mg2Ni2Pb SCAN PBEsol geometry
# - calculated total energy (eV for the cell shown) = -234.24
# - mass density (g/cm3) = 7.1
# - DOS(E_F) (states/eV per cell) = 4.9
data_Mg2Ni2Pb
_chemical_formula_sum 'Mg4 Ni4 Pb2'
_symmetry_space_group_name_H-M 'I 4/m m m'
_symmetry_Int_Tables_number 139
_symmetry_space_group_name_Hall '-I 4 2'
_cell_length_a 3.930
_cell_length_b 3.930
_cell_length_c 11.295
_cell_angle_alpha 90.00
_cell_angle_beta 90.00
_cell_angle_gamma 90.00
loop_
_atom_site_label
_atom_site_type_symbol
_atom_site_fract_x
_atom_site_fract_y
_atom_site_fract_z
Mg1 Mg 0.000 0.500 0.250
Ni1 Ni 0.000 0.000 0.100
Pb1 Pb 0.000 0.000 0.500

# 7
# Mg2NiPb SCAN PBEsol geometry
# - calculated total energy (eV for the cell shown) = -101.74
# - mass density (g/cm3) = 6.8
# - DOS(E_F) (states/eV per cell) = 2.2
data_Mg2NiPb
_chemical_formula_sum 'Mg2 Ni1 Pb1'
_symmetry_space_group_name_H-M 'P 4 m m'
_symmetry_Int_Tables_number 99
_symmetry_space_group_name_Hall 'P 4 -2'
_cell_length_a 3.385
_cell_length_b 3.385
_cell_length_c 6.669
_cell_angle_alpha 90.00
_cell_angle_beta 90.00
_cell_angle_gamma 90.00
loop_
_atom_site_label
_atom_site_type_symbol
_atom_site_fract_x
_atom_site_fract_y
_atom_site_fract_z
Mg1 Mg 0.000 0.000 0.000
Mg2 Mg 0.500 0.500 0.271
Ni1 Ni 0.000 0.000 0.450
Pb1 Pb 0.500 0.500 0.696

# 8
# MgNiPb2W SCAN PBEsol geometry
# - calculated total energy (eV for the cell shown) = -236.87
# - mass density (g/cm3) = 10.1
# - DOS(E_F) (states/eV per cell) = 2.4
data_MgNiPb2W
_chemical_formula_sum 'Mg1 Ni1 Pb2 W1'
_symmetry_space_group_name_H-M 'P 4/m m m'
_symmetry_Int_Tables_number 123
_symmetry_space_group_name_Hall '-P 4 2'
_cell_length_a 4.897
_cell_length_b 4.897
_cell_length_c 4.668
_cell_angle_alpha 90.00
_cell_angle_beta 90.00
_cell_angle_gamma 90.00
loop_
_atom_site_label
_atom_site_type_symbol
_atom_site_fract_x
_atom_site_fract_y
_atom_site_fract_z
Mg1 Mg 0.000 0.000 0.000
Ni1 Ni 0.000 0.000 0.500
Pb1 Pb 0.000 0.500 0.500
W1 W 0.500 0.500 0.000